1.
4
Lattice="3.859 0.000 0.000 0.000 3.859 0.000 0.000 0.000 10.571" Properties=species:S:1:pos:R:3 comment="Ac2PrGd PBE optimized geometry" formation_enthalpy_0k_ev_per_atom=0.030 total_magnetization_mub_per_fu=7.615 sg="P4/mmm, No. 123" dft_energy_ev_per_atom=-6.740 polymorph_energy_ev_per_fu=0.025 pbc="T T T"
Ac 0.000 0.000 2.610
Ac 0.000 0.000 7.961
Pr 1.929 1.929 5.286
Gd 1.929 1.929 0.000

2.
6
Lattice="0.000 4.795 4.795 4.795 0.000 4.795 4.795 4.795 0.000" Properties=species:S:1:pos:R:3 comment="AcPrGd4 PBE optimized geometry" formation_enthalpy_0k_ev_per_atom=0.218 total_magnetization_mub_per_fu=33.652 sg="F-43m, No. 216" dft_energy_ev_per_atom=-10.651 pbc="T T T"
Ac 0.000 0.000 0.000
Pr 2.398 2.398 2.398
Gd 5.989 3.602 3.602
Gd 3.602 5.989 3.602
Gd 3.602 3.602 5.989
Gd 5.989 5.989 5.989

3.
4
Lattice="0.000 4.289 4.289 4.289 0.000 4.289 4.289 4.289 0.000" Properties=species:S:1:pos:R:3 comment="Ac2PrGd PBE optimized geometry" formation_enthalpy_0k_ev_per_atom=0.102 total_magnetization_mub_per_fu=7.935 sg="Fm-3m, No. 225" dft_energy_ev_per_atom=-6.667 polymorph_energy_ev_per_fu=0.313 pbc="T T T"
Ac 2.145 2.145 2.145
Ac 6.434 6.434 6.434
Pr 0.000 0.000 0.000
Gd 4.289 4.289 4.289

4.
4
Lattice="5.450 0.000 0.000 0.000 5.450 0.000 0.000 0.000 5.281" Properties=species:S:1:pos:R:3 comment="Ac2PrGd PBE optimized geometry" formation_enthalpy_0k_ev_per_atom=0.024 total_magnetization_mub_per_fu=7.409 sg="P4/mmm, No. 123" dft_energy_ev_per_atom=-6.746 polymorph_energy_ev_per_fu=0.000 pbc="T T T"
Ac 0.000 2.725 0.000
Ac 2.725 0.000 0.000
Pr 0.000 0.000 2.641
Gd 2.725 2.725 2.641

5.
6
Lattice="0.000 5.088 5.088 5.088 0.000 5.088 5.088 5.088 0.000" Properties=species:S:1:pos:R:3 comment="Ac4PrGd PBE optimized geometry" formation_enthalpy_0k_ev_per_atom=0.323 total_magnetization_mub_per_fu=7.612 sg="F-43m, No. 216" dft_energy_ev_per_atom=-5.559 pbc="T T T"
Ac 1.272 1.272 1.272
Ac 3.815 3.815 1.272
Ac 3.815 1.272 3.815
Ac 1.272 3.815 3.815
Pr 7.632 7.632 7.632
Gd 5.088 5.088 5.088

6.
4
Lattice="0.000 4.195 4.195 4.195 0.000 4.195 4.195 4.195 0.000" Properties=species:S:1:pos:R:3 comment="AcPrSmGd PBE optimized geometry" formation_enthalpy_0k_ev_per_atom=0.125 total_magnetization_mub_per_fu=8.885 sg="F-43m, No. 216" dft_energy_ev_per_atom=-6.797 pbc="T T T"
Ac 0.000 0.000 0.000
Pr 2.098 2.098 2.098
Sm 6.293 6.293 6.293
Gd 4.195 4.195 4.195